SbSN2 after structural relaxation, computed with PBE-GGA.

Unit cell a=3.4116 b=4.0037 c=9.5725 alpha=97.00 beta=90.42 gamma=113.90
Closest atoms and distances in Å follow each position.
Element x y z (fractional)
Sb1 0.0000 0.0000 0.0000  3 S 2.45-2.74
S1 0.7430 0.4988 0.1448  3 Sb 2.45-2.74
N1 0.5034 0.0320 0.5156  1 N 1.11
N2 0.6216 0.2589 0.6058  1 N 1.11

Properties
N(E_F): 0.88 states/eV per cell
final energy: -24.6 eV for the cell shown
E above lowest polymorph: 0 meV/atom
ΔE_f (raw): 74 meV/atom
space-group type: No. 1

---

SbSN after structural relaxation, computed with PBE-GGA.

Unit cell a=10.3102 b=5.2112 c=8.6767 alpha=90.00 beta=109.10 gamma=90.00
Closest atoms and distances in Å follow each position.
Element x y z (fractional)
Sb1 0.0878 0.1665 0.1319  2 S 2.45-2.51
Sb2 0.0878 0.3335 0.6319  2 S 2.45-2.51
Sb3 0.9122 0.6665 0.3681  2 S 2.45-2.51
Sb4 0.9122 0.8335 0.8681  2 S 2.45-2.51
S1 0.1287 0.6398 0.8662  2 Sb 2.45-2.51
S2 0.1287 0.8602 0.3662  2 Sb 2.45-2.51
S3 0.8713 0.1398 0.6338  2 Sb 2.45-2.51
S4 0.8713 0.3602 0.1338  2 Sb 2.45-2.51
N1 0.4636 0.0516 0.0243  1 N 1.11
N2 0.4636 0.4484 0.5243  1 N 1.11
N3 0.5364 0.5516 0.4757  1 N 1.11
N4 0.5364 0.9484 0.9757  1 N 1.11

Properties
final energy: -67.4 eV for the cell shown
E above lowest polymorph: 0 meV/atom
ΔE_f (raw): -93 meV/atom
space-group type: No. 14

---

SbS2N after structural relaxation, computed with PBE-GGA.

Unit cell a=5.8328 b=7.7618 c=10.0964 alpha=84.05 beta=73.44 gamma=69.72
Closest atoms and distances in Å follow each position.
Element x y z (fractional)
Sb1 0.1149 0.3099 0.3748  2 N 2.30-2.37, 1 S 2.46
Sb2 0.3452 0.8690 0.8983  1 N 2.32, 2 S 2.39-2.48
Sb3 0.6548 0.1310 0.1017  1 N 2.32, 2 S 2.39-2.48
Sb4 0.8851 0.6901 0.6252  2 N 2.30-2.37, 1 S 2.46
S1 0.0895 0.2369 0.7248  2 N 1.54-1.64
S2 0.2226 0.2048 0.1002  1 Sb 2.39
S3 0.3633 0.9329 0.3966  1 N 1.65
S4 0.4697 0.6458 0.7108  2 Sb 2.46-2.48
S5 0.5303 0.3542 0.2892  2 Sb 2.46-2.48
S6 0.6367 0.0671 0.6034  1 N 1.65
S7 0.7774 0.7952 0.8998  1 Sb 2.39
S8 0.9105 0.7631 0.2752  2 N 1.54-1.64
N1 0.0800 0.3677 0.5995  1 S 1.54
N2 0.3707 0.0900 0.7263  2 S 1.64-1.65
N3 0.6293 0.9100 0.2737  2 S 1.64-1.65
N4 0.9200 0.6323 0.4005  1 S 1.54

Properties
final energy: -79.5 eV for the cell shown
E above lowest polymorph: 0 meV/atom
ΔE_f (raw): 207 meV/atom
space-group type: No. 2